Arrangement a

# PBE TbPr4Ho7, optimized geometry
data_TbPr4Ho7
_space_group_name_H-M_alt 'P 1'
_space_group_IT_number 1
_space_group_name_Hall 'P 1'
_cell_length_a 6.877
_cell_length_b 8.799
_cell_length_c 9.095
_cell_angle_alpha 84.72
_cell_angle_beta 95.36
_cell_angle_gamma 47.81
loop_
_atom_site_label
_atom_site_fract_x
_atom_site_fract_y
_atom_site_fract_z
Tb1 0.000 0.000 0.000
Pr1 0.779 0.835 0.693
Pr2 0.221 0.165 0.307
Pr3 0.448 0.361 0.715
Pr4 0.552 0.639 0.285
Ho1 0.264 0.489 0.048
Ho2 0.021 0.680 0.356
Ho3 0.291 0.815 0.619
Ho4 0.500 0.000 0.000
Ho5 0.736 0.511 0.952
Ho6 0.979 0.320 0.644
Ho7 0.709 0.185 0.381
# SG = P-1 (2)

Arrangement b

# PBE TbPr4Ho7, optimized geometry
data_TbPr4Ho7
_space_group_name_H-M_alt 'P 1'
_space_group_IT_number 1
_space_group_name_Hall 'P 1'
_cell_length_a 5.927
_cell_length_b 11.742
_cell_length_c 6.753
_cell_angle_alpha 83.56
_cell_angle_beta 63.97
_cell_angle_gamma 75.38
loop_
_atom_site_label
_atom_site_fract_x
_atom_site_fract_y
_atom_site_fract_z
Ho1 0.788 0.924 0.500
Ho2 0.930 0.310 0.831
Ho3 0.500 0.000 0.000
Ho4 0.070 0.690 0.169
Ho5 0.632 0.506 0.230
Ho6 0.368 0.494 0.770
Ho7 0.212 0.076 0.500
Tb1 0.000 0.000 0.000
Pr1 0.219 0.336 0.226
Pr2 0.639 0.222 0.499
Pr3 0.361 0.778 0.501
Pr4 0.781 0.664 0.774
# SG = C2/m (12)

Of them, arrangement a has the highest stability.